(1)
# HgBi2MoIr (GGA-PBE, optimized geometry)
# Energy relative to the elements: 1.127 eV/atom
# D(E_F): 4.34 states/eV per cell
# M_tot: 0.794 μB per atom
data_HgBi2MoIr
_chemical_formula_sum 'Hg1 Bi2 Mo1 Ir1'
_cell_length_a 5.315
_cell_length_b 5.315
_cell_length_c 5.212
_cell_angle_alpha 90.00
_cell_angle_beta 90.00
_cell_angle_gamma 90.00
_space_group_name_H-M_alt 'P 4/m m m'
_space_group_IT_number 123
_space_group_name_Hall '-P 4 2'
loop_
_atom_site_label
_atom_site_type_symbol
_atom_site_fract_x
_atom_site_fract_y
_atom_site_fract_z
Hg1 Hg 0.000 0.000 0.000
Bi1 Bi 0.000 0.500 0.500
Mo1 Mo 0.500 0.500 0.000
Ir1 Ir 0.000 0.000 0.500

***

(2)
# HgBiIrO6 (GGA-PBE, optimized geometry)
# Energy relative to the elements, uncorrected: -645 meV per atom
# D(E_F): 11.09 states/eV per cell
# M_tot: 0.000 μB per atom
data_HgBiIrO6
_chemical_formula_sum 'Hg2 Bi2 Ir2 O12'
_cell_length_a 5.6118
_cell_length_b 5.6118
_cell_length_c 9.3498
_cell_angle_alpha 90.00
_cell_angle_beta 90.00
_cell_angle_gamma 120.00
_space_group_name_H-M_alt 'P -3 1 c'
_space_group_IT_number 163
_space_group_name_Hall '-P 3 2c'
loop_
_atom_site_label
_atom_site_type_symbol
_atom_site_fract_x
_atom_site_fract_y
_atom_site_fract_z
Hg1 Hg 0.0000 0.0000 0.0000
Bi1 Bi 0.3333 0.6667 0.2500
Ir1 Ir 0.3333 0.6667 0.7500
O1 O 0.0387 0.3871 0.6332

***

(3)
# HgBiIr2Pd (GGA-PBE, optimized geometry)
# Energy relative to the elements: 1.795 eV/atom
# D(E_F): 6.18 states/eV per cell
# M_tot: 0.203 μB per atom
data_HgBiIr2Pd
_chemical_formula_sum 'Hg1 Bi1 Ir2 Pd1'
_cell_length_a 4.987
_cell_length_b 4.987
_cell_length_c 5.561
_cell_angle_alpha 90.00
_cell_angle_beta 90.00
_cell_angle_gamma 90.00
_space_group_name_H-M_alt 'P 4/m m m'
_space_group_IT_number 123
_space_group_name_Hall '-P 4 2'
loop_
_atom_site_label
_atom_site_type_symbol
_atom_site_fract_x
_atom_site_fract_y
_atom_site_fract_z
Hg1 Hg 0.000 0.000 0.000
Bi1 Bi 0.000 0.000 0.500
Ir1 Ir 0.000 0.500 0.500
Pd1 Pd 0.500 0.500 0.000

***

(4)
# PmHgBiIr (GGA-PBE, optimized geometry)
# Energy relative to the elements: -0.203 eV/atom
# D(E_F): 17.78 states/eV per cell
# M_tot: 0.000 μB per atom
data_PmHgBiIr
_chemical_formula_sum 'Pm4 Hg4 Bi4 Ir4'
_cell_length_a 7.226
_cell_length_b 7.226
_cell_length_c 7.226
_cell_angle_alpha 90.00
_cell_angle_beta 90.00
_cell_angle_gamma 90.00
_space_group_name_H-M_alt 'F -4 3 m'
_space_group_IT_number 216
_space_group_name_Hall 'F -4 2 3'
loop_
_atom_site_label
_atom_site_type_symbol
_atom_site_fract_x
_atom_site_fract_y
_atom_site_fract_z
Pm1 Pm 0.000 0.000 0.000
Hg1 Hg 0.250 0.250 0.250
Bi1 Bi 0.000 0.000 0.500
Ir1 Ir 0.250 0.250 0.750

***

(5)
# RbHg2BiIr (GGA-PBE, optimized geometry)
# Energy relative to the elements: 0.011 eV/atom
# D(E_F): 4.31 states/eV per cell
# M_tot: 0.000 μB per atom
data_RbHg2BiIr
_chemical_formula_sum 'Rb1 Hg2 Bi1 Ir1'
_cell_length_a 5.436
_cell_length_b 5.436
_cell_length_c 5.306
_cell_angle_alpha 90.00
_cell_angle_beta 90.00
_cell_angle_gamma 90.00
_space_group_name_H-M_alt 'P 4/m m m'
_space_group_IT_number 123
_space_group_name_Hall '-P 4 2'
loop_
_atom_site_label
_atom_site_type_symbol
_atom_site_fract_x
_atom_site_fract_y
_atom_site_fract_z
Rb1 Rb 0.000 0.000 0.000
Hg1 Hg 0.000 0.500 0.500
Bi1 Bi 0.500 0.500 0.000
Ir1 Ir 0.500 0.500 0.500

***

(6)
# HgBi2IrSe (GGA-PBE, optimized geometry)
# Energy relative to the elements, uncorrected: 299 meV per atom
# D(E_F): 2.53 states/eV per cell
# M_tot: 0.000 μB per atom
data_HgBi2IrSe
_chemical_formula_sum 'Hg1 Bi2 Ir1 Se1'
_cell_length_a 5.294
_cell_length_b 5.294
_cell_length_c 5.227
_cell_angle_alpha 90.00
_cell_angle_beta 90.00
_cell_angle_gamma 90.00
_space_group_name_H-M_alt 'P 4/m m m'
_space_group_IT_number 123
_space_group_name_Hall '-P 4 2'
loop_
_atom_site_label
_atom_site_type_symbol
_atom_site_fract_x
_atom_site_fract_y
_atom_site_fract_z
Hg1 Hg 0.000 0.000 0.000
Bi1 Bi 0.000 0.500 0.500
Ir1 Ir 0.000 0.000 0.500
Se1 Se 0.500 0.500 0.000

***

(7)
# SiHgBiIr2 (GGA-PBE, optimized geometry)
# Energy relative to the elements, uncorrected: 1791 meV per atom
# D(E_F): 3.97 states/eV per cell
# M_tot: 0.154 μB per atom
data_SiHgBiIr2
_chemical_formula_sum 'Si1 Hg1 Bi1 Ir2'
_cell_length_a 5.055
_cell_length_b 5.055
_cell_length_c 5.218
_cell_angle_alpha 90.00
_cell_angle_beta 90.00
_cell_angle_gamma 90.00
_space_group_name_H-M_alt 'P 4/m m m'
_space_group_IT_number 123
_space_group_name_Hall '-P 4 2'
loop_
_atom_site_label
_atom_site_type_symbol
_atom_site_fract_x
_atom_site_fract_y
_atom_site_fract_z
Si1 Si 0.000 0.000 0.000
Hg1 Hg 0.500 0.500 0.000
Bi1 Bi 0.000 0.000 0.500
Ir1 Ir 0.000 0.500 0.500

***

(8)
# ZrHgBi2Ir (GGA-PBE, optimized geometry)
# Energy relative to the elements: 1.222 eV/atom
# D(E_F): 5.14 states/eV per cell
# M_tot: 0.000 μB per atom
data_ZrHgBi2Ir
_chemical_formula_sum 'Zr1 Hg1 Bi2 Ir1'
_cell_length_a 5.472
_cell_length_b 5.472
_cell_length_c 4.980
_cell_angle_alpha 90.00
_cell_angle_beta 90.00
_cell_angle_gamma 90.00
_space_group_name_H-M_alt 'P 4/m m m'
_space_group_IT_number 123
_space_group_name_Hall '-P 4 2'
loop_
_atom_site_label
_atom_site_type_symbol
_atom_site_fract_x
_atom_site_fract_y
_atom_site_fract_z
Zr1 Zr 0.000 0.000 0.000
Hg1 Hg 0.500 0.500 0.500
Bi1 Bi 0.000 0.500 0.500
Ir1 Ir 0.500 0.500 0.000

***

Question: Look up the M_tot of the seventh one.
Answer: 0.154 μB per atom

***

Question: Among the records above, which one has the lowest D(E_F)?
Answer: HgBi2IrSe

***

Question: Which value of M_tot does entry 5 give?
Answer: 0.000 μB per atom